{
  "formula": "TaBr2",
  "functional": "PBE",
  "state": "relaxed",
  "lattice": [[-6.224, -7.120, 11.183], [-4.885, -3.375, 13.388], [3.565, 6.238, -12.762]],
  "species": ["Ta", "Ta", "Br", "Br", "Br", "Br"],
  "fractional_positions": [[0.000, 0.000, 0.000], [0.750, 0.250, 0.500], [0.556, 0.556, 0.000], [0.194, 0.694, 0.500], [0.444, 0.444, 0.000], [0.306, 0.806, 0.500]],
  "total_magnetization_mub_per_atom": 0.000,
  "crystal_system": "tetragonal",
  "e_form_raw_ev_per_atom": -0.060
}

=====

{
  "formula": "TaBr5",
  "functional": "PBE",
  "state": "relaxed",
  "lattice": [[1.553, -12.696, 0.000], [1.553, 12.696, 0.000], [0.000, 0.000, 5.134]],
  "species": ["Ta", "Br", "Br", "Br", "Br", "Br"],
  "fractional_positions": [[0.000, 0.000, 0.500], [0.829, 0.171, 0.000], [0.171, 0.829, 0.000], [0.500, 0.500, 0.000], [0.418, 0.582, 0.500], [0.582, 0.418, 0.500]],
  "total_magnetization_mub_per_atom": 0.118,
  "crystal_system": "orthorhombic",
  "e_form_raw_ev_per_atom": -0.085
}

=====

{
  "formula": "TaBr5",
  "functional": "PBE",
  "state": "relaxed",
  "lattice": [[6.754, 0.000, 0.000], [0.000, 14.059, 0.000], [0.000, 0.000, 19.749]],
  "species": ["Br", "Br", "Br", "Br", "Br", "Br", "Br", "Br", "Br", "Br", "Br", "Br", "Br", "Br", "Br", "Br", "Br", "Br", "Br", "Br", "Br", "Br", "Br", "Br", "Br", "Br", "Br", "Br", "Br", "Br", "Br", "Br", "Br", "Br", "Br", "Br", "Br", "Br", "Br", "Br", "Ta", "Ta", "Ta", "Ta", "Ta", "Ta", "Ta", "Ta"],
  "fractional_positions": [[0.800, 0.197, 0.750], [0.300, 0.303, 0.250], [0.200, 0.803, 0.250], [0.700, 0.697, 0.750], [0.216, 0.053, 0.750], [0.716, 0.447, 0.250], [0.784, 0.947, 0.250], [0.284, 0.553, 0.750], [0.794, 0.982, 0.654], [0.294, 0.518, 0.346], [0.206, 0.018, 0.154], [0.706, 0.482, 0.846], [0.206, 0.018, 0.346], [0.706, 0.482, 0.654], [0.794, 0.982, 0.846], [0.294, 0.518, 0.154], [0.721, 0.232, 0.346], [0.221, 0.268, 0.654], [0.279, 0.768, 0.846], [0.779, 0.732, 0.154], [0.279, 0.768, 0.654], [0.779, 0.732, 0.346], [0.721, 0.232, 0.154], [0.221, 0.268, 0.846], [0.238, 0.046, 0.566], [0.738, 0.454, 0.434], [0.762, 0.954, 0.066], [0.262, 0.546, 0.934], [0.762, 0.954, 0.434], [0.262, 0.546, 0.566], [0.238, 0.046, 0.934], [0.738, 0.454, 0.066], [0.721, 0.704, 0.566], [0.221, 0.796, 0.434], [0.279, 0.296, 0.066], [0.779, 0.204, 0.934], [0.279, 0.296, 0.434], [0.779, 0.204, 0.566], [0.721, 0.704, 0.934], [0.221, 0.796, 0.066], [0.008, 0.125, 0.643], [0.508, 0.375, 0.357], [0.992, 0.875, 0.143], [0.492, 0.625, 0.857], [0.992, 0.875, 0.357], [0.492, 0.625, 0.643], [0.008, 0.125, 0.857], [0.508, 0.375, 0.143]],
  "total_magnetization_mub_per_atom": 0.000,
  "crystal_system": "orthorhombic",
  "e_form_raw_ev_per_atom": -0.912
}

=====

{
  "formula": "TaBr3",
  "functional": "PBE",
  "state": "relaxed",
  "lattice": [[9.484, 0.000, 0.000], [0.000, 9.484, 0.000], [4.742, 4.742, 2.603]],
  "species": ["Br", "Br", "Br", "Br", "Br", "Br", "Ta", "Ta"],
  "fractional_positions": [[0.500, 0.500, 0.000], [0.250, 0.750, 0.500], [0.766, 0.125, 0.250], [0.984, 0.625, 0.250], [0.375, 0.234, 0.750], [0.875, 0.016, 0.750], [0.000, 0.000, 0.000], [0.750, 0.250, 0.500]],
  "total_magnetization_mub_per_atom": 0.475,
  "crystal_system": "tetragonal",
  "e_form_raw_ev_per_atom": -0.296
}

=====

{
  "formula": "Ta5Br4",
  "functional": "PBE",
  "state": "relaxed",
  "lattice": [[1.747, -5.883, 4.693], [0.074, 7.316, -2.481], [-7.072, 0.744, 3.019]],
  "species": ["Ta", "Ta", "Ta", "Ta", "Ta", "Br", "Br", "Br", "Br"],
  "fractional_positions": [[0.000, 0.000, 0.000], [0.653, 0.347, 0.000], [0.347, 0.653, 0.000], [0.347, 0.347, 0.694], [0.653, 0.653, 0.306], [0.698, 0.000, 0.698], [0.302, 0.000, 0.302], [0.000, 0.302, 0.302], [0.000, 0.698, 0.698]],
  "total_magnetization_mub_per_atom": 0.000,
  "crystal_system": "tetragonal",
  "e_form_raw_ev_per_atom": 0.268
}

=====

{
  "formula": "TaBr2",
  "functional": "PBE",
  "state": "relaxed",
  "lattice": [[-4.400, 4.511, 3.905], [-5.250, 0.244, 5.229], [6.429, -2.200, -2.965]],
  "species": ["Br", "Br", "Ta"],
  "fractional_positions": [[0.385, 0.385, 0.000], [0.615, 0.615, 0.000], [0.000, 0.000, 0.000]],
  "total_magnetization_mub_per_atom": 0.000,
  "crystal_system": "tetragonal",
  "e_form_raw_ev_per_atom": -0.062
}

=====

{
  "formula": "TaBr3",
  "functional": "PBE",
  "state": "relaxed",
  "lattice": [[-4.746, 0.032, 1.576], [-1.920, 4.128, 2.070], [-3.436, 2.668, -2.466]],
  "species": ["Br", "Br", "Br", "Ta"],
  "fractional_positions": [[0.250, 0.250, 0.250], [0.750, 0.750, 0.750], [0.000, 0.000, 0.000], [0.500, 0.500, 0.500]],
  "total_magnetization_mub_per_atom": 0.500,
  "crystal_system": "cubic",
  "e_form_raw_ev_per_atom": 0.527
}

=====

{
  "formula": "TaBr3",
  "functional": "PBE",
  "state": "relaxed",
  "lattice": [[-5.518, -3.386, 5.994], [-5.219, 3.271, 6.317], [2.859, 0.276, -8.343]],
  "species": ["Ta", "Ta", "Br", "Br", "Br", "Br", "Br", "Br"],
  "fractional_positions": [[0.638, 0.638, 0.000], [0.362, 0.362, 0.000], [0.000, 0.500, 0.500], [0.500, 0.000, 0.500], [0.750, 0.250, 0.500], [0.250, 0.750, 0.500], [0.871, 0.871, 0.000], [0.129, 0.129, 0.000]],
  "total_magnetization_mub_per_atom": 0.500,
  "crystal_system": "tetragonal",
  "e_form_raw_ev_per_atom": 0.656
}

=====

{
  "formula": "TaBr4",
  "functional": "PBE",
  "state": "relaxed",
  "lattice": [[-1.985, -10.573, 3.922], [0.811, -8.418, 7.721], [-1.593, 10.325, -4.688]],
  "species": ["Ta", "Br", "Br", "Br", "Br"],
  "fractional_positions": [[0.000, 0.000, 0.000], [0.750, 0.250, 0.500], [0.250, 0.750, 0.500], [0.570, 0.570, 0.000], [0.430, 0.430, 0.000]],
  "total_magnetization_mub_per_atom": 0.084,
  "crystal_system": "tetragonal",
  "e_form_raw_ev_per_atom": 0.462
}

=====

{
  "formula": "TaBr2",
  "functional": "PBE",
  "state": "relaxed",
  "lattice": [[5.840, -5.348, -0.303], [6.471, -3.423, -3.036], [6.684, 2.771, 3.494]],
  "species": ["Ta", "Ta", "Br", "Br", "Br", "Br"],
  "fractional_positions": [[0.856, 0.856, 0.590], [0.216, 0.216, 0.606], [0.968, 0.968, 0.282], [0.419, 0.419, 0.780], [0.681, 0.681, 0.871], [0.694, 0.694, 0.370]],
  "total_magnetization_mub_per_atom": 0.000,
  "crystal_system": "monoclinic",
  "e_form_raw_ev_per_atom": -0.461
}

=====

{
  "formula": "TaBr2",
  "functional": "PBE",
  "state": "relaxed",
  "lattice": [[0.563, -1.186, -5.457], [2.949, -3.013, 3.705], [-5.381, -1.064, 1.189]],
  "species": ["Ta", "Ta", "Br", "Br", "Br", "Br"],
  "fractional_positions": [[0.750, 0.750, 0.000], [0.250, 0.250, 0.000], [0.175, 0.325, 0.500], [0.825, 0.675, 0.500], [0.675, 0.175, 0.850], [0.325, 0.825, 0.150]],
  "total_magnetization_mub_per_atom": 0.000,
  "crystal_system": "tetragonal",
  "e_form_raw_ev_per_atom": 0.176
}

=====

{
  "formula": "TaBr3",
  "functional": "PBE",
  "state": "relaxed",
  "lattice": [[3.264, 0.000, 0.000], [0.000, 3.310, 0.000], [0.000, 0.000, 9.561]],
  "species": ["Br", "Br", "Br", "Ta"],
  "fractional_positions": [[0.000, 0.000, 0.104], [0.500, 0.000, 0.464], [0.500, 0.500, 0.797], [0.000, 0.500, 0.302]],
  "total_magnetization_mub_per_atom": 0.000,
  "crystal_system": "orthorhombic",
  "e_form_raw_ev_per_atom": -0.063
}

=====

{
  "formula": "TaBr2",
  "functional": "PBE",
  "state": "relaxed",
  "lattice": [[0.675, 2.960, -7.652], [-2.890, -0.574, 7.686], [4.570, 4.214, 2.033]],
  "species": ["Ta", "Ta", "Br", "Br", "Br", "Br"],
  "fractional_positions": [[0.000, 0.000, 0.750], [0.000, 0.000, 0.250], [0.625, 0.375, 0.750], [0.375, 0.625, 0.750], [0.375, 0.625, 0.250], [0.625, 0.375, 0.250]],
  "total_magnetization_mub_per_atom": 0.000,
  "crystal_system": "orthorhombic",
  "e_form_raw_ev_per_atom": -0.207
}

=====

{
  "formula": "TaBr5",
  "functional": "PBE",
  "state": "relaxed",
  "lattice": [[1.571, 7.618, 1.224], [-1.571, 7.618, 1.224], [0.000, 5.729, 10.195]],
  "species": ["Ta", "Br", "Br", "Br", "Br", "Br"],
  "fractional_positions": [[0.694, 0.694, 0.111], [0.165, 0.165, 0.947], [0.694, 0.694, 0.611], [0.223, 0.223, 0.275], [0.377, 0.377, 0.931], [0.012, 0.012, 0.291]],
  "total_magnetization_mub_per_atom": 0.000,
  "crystal_system": "monoclinic",
  "e_form_raw_ev_per_atom": -0.406
}

=====

{
  "formula": "TaBr5",
  "functional": "PBE",
  "state": "relaxed",
  "lattice": [[0.000, 4.271, 4.271], [4.271, 0.000, 4.271], [4.271, 4.271, 0.000]],
  "species": ["Ta", "Br", "Br", "Br", "Br", "Br"],
  "fractional_positions": [[0.000, 0.000, 0.000], [0.250, 0.250, 0.250], [0.626, 0.626, 0.626], [0.626, 0.626, 0.123], [0.123, 0.626, 0.626], [0.626, 0.123, 0.626]],
  "total_magnetization_mub_per_atom": 0.399,
  "crystal_system": "cubic",
  "e_form_raw_ev_per_atom": 1.103
}

=====

{
  "formula": "TaBr6",
  "functional": "PBE",
  "state": "relaxed",
  "lattice": [[-1.222, 7.678, 3.658], [-5.554, -5.390, 9.457], [9.973, -0.946, 5.318]],
  "species": ["Ta", "Ta", "Ta", "Ta", "Br", "Br", "Br", "Br", "Br", "Br", "Br", "Br", "Br", "Br", "Br", "Br", "Br", "Br", "Br", "Br", "Br", "Br", "Br", "Br", "Br", "Br", "Br", "Br"],
  "fractional_positions": [[0.048, 0.250, 0.633], [0.952, 0.750, 0.367], [0.548, 0.750, 0.867], [0.452, 0.250, 0.133], [0.837, 0.250, 0.488], [0.163, 0.750, 0.512], [0.337, 0.750, 0.012], [0.663, 0.250, 0.988], [0.309, 0.250, 0.757], [0.691, 0.750, 0.243], [0.809, 0.750, 0.743], [0.191, 0.250, 0.257], [0.206, 0.392, 0.513], [0.794, 0.608, 0.487], [0.706, 0.608, 0.987], [0.794, 0.892, 0.487], [0.294, 0.392, 0.013], [0.206, 0.108, 0.513], [0.294, 0.108, 0.013], [0.706, 0.892, 0.987], [0.947, 0.399, 0.758], [0.053, 0.601, 0.242], [0.447, 0.601, 0.742], [0.053, 0.899, 0.242], [0.553, 0.399, 0.258], [0.947, 0.101, 0.758], [0.553, 0.101, 0.258], [0.447, 0.899, 0.742]],
  "total_magnetization_mub_per_atom": 0.153,
  "crystal_system": "orthorhombic",
  "e_form_raw_ev_per_atom": -0.687
}

=====

{
  "formula": "Ta6Br7",
  "functional": "PBE",
  "state": "relaxed",
  "lattice": [[9.750, -0.004, -0.002], [7.882, 5.738, -0.002], [7.882, 2.563, 5.133]],
  "species": ["Br", "Br", "Br", "Br", "Br", "Br", "Br", "Ta", "Ta", "Ta", "Ta", "Ta", "Ta"],
  "fractional_positions": [[0.932, 0.426, 0.426], [0.426, 0.426, 0.932], [0.426, 0.932, 0.426], [0.068, 0.574, 0.574], [0.574, 0.068, 0.574], [0.574, 0.574, 0.068], [0.500, 0.500, 0.500], [0.950, 0.950, 0.950], [0.050, 0.050, 0.050], [0.851, 0.851, 0.851], [0.149, 0.149, 0.149], [0.668, 0.668, 0.668], [0.332, 0.332, 0.332]],
  "total_magnetization_mub_per_atom": 0.000,
  "crystal_system": "trigonal",
  "e_form_raw_ev_per_atom": 0.952
}

=====

{
  "formula": "TaBr4",
  "functional": "PBE",
  "state": "relaxed",
  "lattice": [[5.820, -3.708, -2.219], [-4.795, 2.273, 4.938], [-4.606, -4.867, -2.764]],
  "species": ["Ta", "Br", "Br", "Br", "Br"],
  "fractional_positions": [[0.000, 0.000, 0.000], [0.716, 0.452, 0.169], [0.452, 0.284, 0.736], [0.284, 0.548, 0.831], [0.548, 0.716, 0.264]],
  "total_magnetization_mub_per_atom": 0.000,
  "crystal_system": "tetragonal",
  "e_form_raw_ev_per_atom": -0.577
}

=====

{
  "formula": "TaBr2",
  "functional": "PBE",
  "state": "relaxed",
  "lattice": [[-0.231, -7.690, -1.074], [1.248, -6.596, -3.908], [7.240, -3.339, 2.491]],
  "species": ["Ta", "Ta", "Br", "Br", "Br", "Br"],
  "fractional_positions": [[0.985, 0.985, 0.657], [0.015, 0.015, 0.343], [0.348, 0.348, 0.784], [0.605, 0.605, 0.703], [0.652, 0.652, 0.216], [0.395, 0.395, 0.297]],
  "total_magnetization_mub_per_atom": 0.043,
  "crystal_system": "monoclinic",
  "e_form_raw_ev_per_atom": -0.503
}

=====

{
  "formula": "TaBr3",
  "functional": "PBE",
  "state": "relaxed",
  "lattice": [[-4.899, -0.996, 2.714], [0.413, -2.084, -5.277], [4.718, -0.242, 3.169]],
  "species": ["Br", "Br", "Br", "Ta"],
  "fractional_positions": [[0.000, 0.000, 0.000], [0.500, 0.000, 0.500], [0.500, 0.500, 0.000], [0.000, 0.500, 0.500]],
  "total_magnetization_mub_per_atom": 0.264,
  "crystal_system": "trigonal",
  "e_form_raw_ev_per_atom": 0.756
}